Entry 1:
{
  "formula": "Th2AlNi",
  "functional": "PBE",
  "state": "relaxed",
  "cell": [[-0.5039, 1.3662, -3.0443], [-3.1821, 0.7298, 0.8542], [2.4227, 7.2338, 2.8453]],
  "species": ["Ni", "Al", "Th", "Th"],
  "fractional_positions": [[0.5000, 0.5000, 0.0000], [0.5000, 0.5000, 0.5000], [0.0000, 0.0000, 0.7731], [0.0000, 0.0000, 0.2269]],
  "sg": "P4/mmm (123)",
  "energy_ev_per_cell": -25.40,
  "rho_g_cm3": 9.845,
  "dos_ef_per_ev_cell": 4.34,
  "ef_ev_per_atom": -0.259
}



Entry 2:
{
  "formula": "Th3Al2Ni9",
  "functional": "PBE",
  "state": "relaxed",
  "cell": [[-3.8029, 0.7068, -0.9188], [-2.5855, -6.8120, -3.1400], [-4.1405, -4.2553, 5.2627]],
  "species": ["Th", "Th", "Th", "Al", "Al", "Ni", "Ni", "Ni", "Ni", "Ni", "Ni", "Ni", "Ni", "Ni"],
  "fractional_positions": [[0.0000, 0.0000, 0.0000], [0.7043, 0.2957, 0.2957], [0.2957, 0.7043, 0.7043], [0.5000, 0.2957, 0.7043], [0.5000, 0.7043, 0.2957], [0.0000, 0.5000, 0.5000], [0.6722, 0.9739, 0.6817], [0.3278, 0.0261, 0.3183], [0.6722, 0.6817, 0.9739], [0.3278, 0.3183, 0.0261], [0.8813, 0.8350, 0.4024], [0.1187, 0.1650, 0.5976], [0.8813, 0.4024, 0.8350], [0.1187, 0.5976, 0.1650]],
  "sg": "Immm (71)",
  "energy_ev_per_cell": -88.06,
  "rho_g_cm3": 9.572,
  "dos_ef_per_ev_cell": 11.95,
  "ef_ev_per_atom": -0.449
}



Entry 3:
{
  "formula": "ThAl2Ni5",
  "functional": "PBE",
  "state": "relaxed",
  "cell": [[3.7290, 0.0000, 0.0000], [1.8645, 5.8190, 0.2225], [1.8645, 1.9629, 5.4824]],
  "species": ["Th", "Al", "Al", "Ni", "Ni", "Ni", "Ni", "Ni"],
  "fractional_positions": [[0.0000, 0.0000, 0.0000], [0.7616, 0.7384, 0.7384], [0.2384, 0.2616, 0.2616], [0.0000, 0.5000, 0.5000], [0.6331, 0.5574, 0.1765], [0.3669, 0.4426, 0.8235], [0.3669, 0.8235, 0.4426], [0.6331, 0.1765, 0.5574]],
  "sg": "Immm (71)",
  "energy_ev_per_cell": -47.05,
  "rho_g_cm3": 8.201,
  "dos_ef_per_ev_cell": 3.93,
  "ef_ev_per_atom": -0.405
}